[1]
Below is a relaxed structure of VCuSe2O7, with properties calculated at the PBEsol level.

a b c (Å): 8.015 8.361 8.812
angles (deg): 90.00 90.00 101.90
Sites, in units of the cell vectors:
V: 0.304 0.554 0.006
V: 0.696 0.946 0.506
V: 0.304 0.054 0.494
V: 0.696 0.446 0.994
Cu: 0.630 0.486 0.372
Cu: 0.630 0.986 0.128
Cu: 0.370 0.014 0.872
Cu: 0.370 0.514 0.628
Se: 0.117 0.744 0.730
Se: 0.883 0.756 0.230
Se: 0.883 0.256 0.270
Se: 0.319 0.709 0.328
Se: 0.681 0.791 0.828
Se: 0.319 0.209 0.172
Se: 0.117 0.244 0.770
Se: 0.681 0.291 0.672
O: 0.139 0.478 0.109
O: 0.586 0.280 0.850
O: 0.415 0.563 0.407
O: 0.562 0.608 0.906
O: 0.438 0.892 0.406
O: 0.414 0.220 0.350
O: 0.585 0.937 0.907
O: 0.414 0.720 0.150
O: 0.233 0.225 0.605
O: 0.438 0.392 0.094
O: 0.767 0.275 0.105
O: 0.730 0.080 0.325
O: 0.861 0.022 0.609
O: 0.139 0.978 0.391
O: 0.562 0.108 0.594
O: 0.233 0.725 0.895
O: 0.270 0.920 0.675
O: 0.415 0.063 0.093
O: 0.160 0.605 0.605
O: 0.840 0.395 0.395
O: 0.586 0.780 0.650
O: 0.160 0.105 0.895
O: 0.840 0.895 0.105
O: 0.270 0.420 0.825
O: 0.861 0.522 0.891
O: 0.730 0.580 0.175
O: 0.585 0.437 0.593
O: 0.767 0.775 0.395

## Properties
Energy relative to the elements, uncorrected in meV/atom: -1148.2
Space-group type: P2_1/c


[2]
Below is a relaxed structure of LiZnCo2, with properties calculated at the PBEsol level.

a b c (Å): 2.577 2.577 7.124
angles (deg): 90.00 90.00 90.00
Sites, in units of the cell vectors:
Co: 0.000 0.000 0.018
Co: 0.500 0.500 0.223
Li: 0.000 0.000 0.487
Zn: 0.500 0.500 0.772

## Properties
Energy of formation in eV/atom: 0.044
Space-group type: P4mm


[3]
Below is a relaxed structure of Ca3InAu3, with properties calculated at the PBEsol level.

a b c (Å): 4.543 8.813 16.498
angles (deg): 90.00 90.00 90.00
Sites, in units of the cell vectors:
Au: 0.750 0.586 0.471
Au: 0.250 0.086 0.029
Au: 0.250 0.414 0.529
Au: 0.750 0.914 0.971
Au: 0.750 0.533 0.047
Au: 0.250 0.033 0.453
Au: 0.250 0.467 0.953
Au: 0.750 0.967 0.547
Au: 0.750 0.327 0.262
Au: 0.250 0.827 0.238
Au: 0.250 0.673 0.738
Au: 0.750 0.173 0.762
Ca: 0.750 0.026 0.155
Ca: 0.250 0.526 0.345
Ca: 0.250 0.974 0.845
Ca: 0.750 0.474 0.655
Ca: 0.750 0.251 0.443
Ca: 0.250 0.751 0.057
Ca: 0.250 0.749 0.557
Ca: 0.750 0.249 0.943
Ca: 0.750 0.870 0.366
Ca: 0.250 0.370 0.134
Ca: 0.250 0.130 0.634
Ca: 0.750 0.630 0.866
In: 0.750 0.636 0.207
In: 0.250 0.136 0.293
In: 0.250 0.364 0.793
In: 0.750 0.864 0.707

## Properties
Energy of formation in eV/atom: -0.745
Space-group type: Pnma


[4]
Below is a relaxed structure of SbSeI2O, with properties calculated at the PBEsol level.

a b c (Å): 3.766 5.852 5.852
angles (deg): 90.00 90.00 90.00
Sites, in units of the cell vectors:
I: 0.000 0.000 0.500
I: 0.000 0.500 0.000
Sb: 0.500 0.500 0.500
O: 0.500 0.000 0.000
Se: 0.000 0.000 0.000

## Properties
Energy relative to the elements, uncorrected in meV/atom: 157.2
Space-group type: P4/mmm


[5]
Below is a relaxed structure of HfInSi2S, with properties calculated at the PBEsol level.

a b c (Å): 4.755 4.755 5.522
angles (deg): 90.00 90.00 90.00
Sites, in units of the cell vectors:
S: 0.500 0.500 0.500
Hf: 0.000 0.000 0.500
Si: 0.000 0.500 0.000
Si: 0.500 0.000 0.000
In: 0.000 0.000 0.000

## Properties
Energy relative to the elements, uncorrected in meV/atom: 1362.6
Space-group type: P4/mmm


[6]
Below is a relaxed structure of K2YMo, with properties calculated at the PBEsol level.

a b c (Å): 2.980 2.980 13.028
angles (deg): 90.00 90.00 90.00
Sites, in units of the cell vectors:
K: 0.000 0.000 0.783
K: 0.000 0.000 0.217
Mo: 0.500 0.500 0.000
Y: 0.500 0.500 0.500

## Properties
Energy of formation in eV/atom: 1.356
Space-group type: P4/mmm


[7]
Below is a relaxed structure of MgGa2, with properties calculated at the PBEsol level.

a b c (Å): 3.151 5.145 7.774
angles (deg): 112.40 90.00 107.83
Sites, in units of the cell vectors:
Mg: 0.503 0.006 0.244
Mg: 0.497 0.994 0.756
Ga: 0.180 0.360 0.091
Ga: 0.832 0.664 0.417
Ga: 0.168 0.336 0.583
Ga: 0.820 0.640 0.909

## Properties
Energy of formation in eV/atom: -0.105
Space-group type: C2/m


[8]
Below is a relaxed structure of Pt5Au4, with properties calculated at the PBEsol level.

a b c (Å): 3.945 6.320 6.320
angles (deg): 84.41 71.81 71.81
Sites, in units of the cell vectors:
Au: 0.669 0.331 0.331
Au: 0.331 0.669 0.669
Au: 0.000 0.331 0.669
Au: 0.000 0.669 0.331
Pt: 0.000 0.000 0.000
Pt: 0.665 0.669 0.000
Pt: 0.335 0.000 0.331
Pt: 0.665 0.000 0.669
Pt: 0.335 0.331 0.000

## Properties
Energy of formation in eV/atom: 0.058
Space-group type: I4/mmm


[9]
Below is a relaxed structure of Fe5Os, with properties calculated at the PBEsol level.

a b c (Å): 2.515 3.937 6.578
angles (deg): 90.00 101.02 90.00
Sites, in units of the cell vectors:
Fe: 0.005 0.000 0.010
Fe: 0.666 0.000 0.333
Fe: 0.328 0.000 0.657
Fe: 0.560 0.500 0.119
Fe: 0.217 0.500 0.435
Os: 0.890 0.500 0.780

## Properties
Energy of formation in eV/atom: 0.034
Space-group type: Amm2


[10]
Below is a relaxed structure of Li2MnNi3O8, with properties calculated at the PBEsol level.

a b c (Å): 5.648 5.648 5.648
angles (deg): 60.66 60.66 60.66
Sites, in units of the cell vectors:
Li: 0.123 0.123 0.123
Li: 0.877 0.877 0.877
Mn: 0.500 0.500 0.500
Ni: 0.500 0.000 0.500
Ni: 0.000 0.500 0.500
Ni: 0.500 0.500 0.000
O: 0.263 0.263 0.263
O: 0.265 0.265 0.708
O: 0.708 0.265 0.265
O: 0.265 0.708 0.265
O: 0.735 0.292 0.735
O: 0.292 0.735 0.735
O: 0.735 0.735 0.292
O: 0.737 0.737 0.737

## Properties
Energy relative to the elements, uncorrected in meV/atom: -1324.8
Space-group type: R-3m
Excess energy over the best structure of this formula in the dataset in meV/atom: 0


[11]
Below is a relaxed structure of Al3Cu2, with properties calculated at the PBEsol level.

a b c (Å): 4.096 4.096 4.983
angles (deg): 90.00 90.00 120.00
Sites, in units of the cell vectors:
Al: 0.000 0.000 0.000
Al: 0.333 0.667 0.352
Al: 0.667 0.333 0.648
Cu: 0.333 0.667 0.842
Cu: 0.667 0.333 0.158

## Properties
Energy of formation in eV/atom: -0.168
Space-group type: P-3m1
Excess energy over the best structure of this formula in the dataset in meV/atom: 0


[12]
Below is a relaxed structure of BeCoW2, with properties calculated at the PBEsol level.

a b c (Å): 2.650 2.650 7.040
angles (deg): 90.00 90.00 90.00
Sites, in units of the cell vectors:
Be: 0.500 0.500 0.000
Co: 0.500 0.500 0.500
W: 0.000 0.000 0.758
W: 0.000 0.000 0.242

## Properties
Energy of formation in eV/atom: 0.096
Space-group type: P4/mmm


| no. | density (g/cm3) | density of states at the Fermi level (states/eV per cell) | DFT total energy (eV/atom) |
| --- | --- | --- | --- |
| 1 | 4.4 | 15.99 | -6.46 |
| 2 | 6.7 | 2.84 | -4.71 |
| 3 | 8.3 | 12.46 | -3.77 |
| 4 | 6.1 | 4.16 | -3.28 |
| 5 | 5.1 | 4.12 | -4.51 |
| 6 | 3.8 | 6.80 | -3.86 |
| 7 | 4.9 | 2.27 | -2.90 |
| 8 | 20.6 | 7.78 | -5.55 |
| 9 | 12.2 | 6.39 | -9.47 |
| 10 | 4.8 | 6.13 | -6.62 |
| 11 | 4.8 | 1.21 | -4.36 |
| 12 | 14.6 | 2.10 | -9.74 |